Record 1
Crystalline LaGeBr3 at its relaxed geometry, computed with PBE-GGA.

Properties
Excess energy over the best structure of this formula in the dataset ... 0 meV/atom
E ... -3.7500 eV/atom

Cell and atoms, written as extended XYZ:
```
5
Lattice="5.8687 0.0000 0.0000 0.0000 5.8687 0.0000 0.0000 0.0000 5.8687" Properties=species:S:1:pos:R:3 pbc="T T T"
La 0.0000 0.0000 0.0000
Ge 2.9343 2.9343 2.9343
Br 0.0000 0.0000 2.9343
Br 0.0000 2.9343 0.0000
Br 2.9343 0.0000 0.0000
```

Record 2
Crystalline Pm4Dy10Er at its relaxed geometry, computed with PBE-GGA.

Properties
E ... -4.2178 eV/atom

Cell and atoms, written as extended XYZ:
```
15
Lattice="-4.8740 4.8740 5.7459 4.8740 -4.8740 5.7459 4.8740 4.8740 -5.7459" Properties=species:S:1:pos:R:3 pbc="T T T"
Pm 3.1727 0.6869 0.0000
Pm 4.1871 -1.7013 5.7459
Pm 0.6869 6.5753 0.0000
Pm 1.7013 4.1871 5.7459
Dy 6.0212 2.6543 -1.8515
Dy 2.6543 3.7268 -1.8515
Dy 4.8740 0.0000 2.8730
Dy 6.0212 2.6543 1.8515
Dy 2.2197 1.1472 3.8944
Dy 2.6543 3.7268 1.8515
Dy -1.1472 2.2197 3.8944
Dy 0.0000 4.8740 2.8730
Dy 2.2197 1.1472 7.5975
Dy -1.1472 2.2197 7.5975
Er 0.0000 0.0000 5.7459
```

Record 3
Crystalline Be4BRu at its relaxed geometry, computed with PBE-GGA.

Properties
Excess energy over the best structure of this formula in the dataset ... 0 meV/atom
E ... -5.3320 eV/atom

Cell and atoms, written as extended XYZ:
```
12
Lattice="4.3043 0.0000 0.0000 -0.0615 4.3274 0.0000 -0.8030 -2.0888 5.5245" Properties=species:S:1:pos:R:3 pbc="T T T"
Be -0.0767 1.3758 0.7532
Be 0.6688 0.5225 2.5840
Be 1.0189 2.7256 2.0628
Be 1.3264 0.8781 4.7000
Be 2.1134 1.3606 0.8246
Be 2.4208 -0.4870 3.4618
Be 2.7710 1.7161 2.9405
Be 3.5165 0.8628 4.7713
B 1.0075 4.0625 0.6511
B 2.4322 -1.8239 4.8735
Ru 0.2397 -1.2919 4.2205
Ru 3.2001 3.5305 1.3040
```

Record 4
Crystalline Nd2Al4Zn3Pd at its relaxed geometry, computed with PBE-GGA.

Properties
E ... -3.8675 eV/atom

Cell and atoms, written as extended XYZ:
```
10
Lattice="4.2499 0.0000 0.0000 0.0000 4.2499 0.0000 0.0000 0.0000 10.7644" Properties=species:S:1:pos:R:3 pbc="T T T"
Nd 0.0000 2.1249 2.6888
Nd 2.1249 0.0000 8.0756
Al 0.0000 0.0000 0.0000
Al 0.0000 2.1249 6.7596
Al 2.1249 0.0000 4.0048
Al 2.1249 2.1249 0.0000
Zn 0.0000 2.1249 9.2688
Zn 2.1249 0.0000 1.4956
Zn 2.1249 2.1249 5.3822
Pd 0.0000 0.0000 5.3822
```

no.,N(E_F) (states/eV per cell)
1,7.3
2,21.6
3,0.8
4,6.4